1.
Crystalline PmDy2TlN at its relaxed geometry, computed with PBE.

Properties
energy = -29.2 eV/cell

Lattice parameters (Å, degrees): 4.8321 4.8321 4.9813 90.00 90.00 90.00
Sites, in units of the cell vectors:
Pm 0.0000 0.0000 0.0000
Dy 0.0000 0.5000 0.5000
Dy 0.5000 0.0000 0.5000
Tl 0.5000 0.5000 0.0000
N 0.0000 0.0000 0.5000

***

2.
Crystalline PmDyTmN3 at its relaxed geometry, computed with PBE.

Properties
energy = -95.2 eV/cell

Lattice parameters (Å, degrees): 5.9947 3.4860 9.0145 90.00 101.77 90.00
Sites, in units of the cell vectors:
Pm 0.1530 0.2500 0.1969
Pm 0.8470 0.7500 0.8031
Dy 0.2689 0.7500 0.5452
Dy 0.7311 0.2500 0.4548
Tm 0.3526 0.2500 0.8606
Tm 0.6474 0.7500 0.1394
N 0.0417 0.2500 0.6695
N 0.2560 0.7500 0.9910
N 0.4641 0.7500 0.3438
N 0.5359 0.2500 0.6562
N 0.7440 0.2500 0.0090
N 0.9583 0.7500 0.3305

***

3.
Crystalline PmDy2TmN4 at its relaxed geometry, computed with PBE.

Properties
energy = -64.9 eV/cell

Lattice parameters (Å, degrees): 6.0496 3.4940 6.0513 90.00 109.43 90.00
Sites, in units of the cell vectors:
Pm 0.0000 0.0000 0.0000
Dy 0.5000 0.0000 0.5000
Dy 0.5000 0.5000 0.0000
Tm 0.0000 0.5000 0.5000
N 0.2500 0.0000 0.7444
N 0.2545 0.5000 0.2573
N 0.7455 0.5000 0.7427
N 0.7500 0.0000 0.2556

***

4.
Crystalline PmDy2UN4 at its relaxed geometry, computed with PBE.

Properties
energy = -70.9 eV/cell

Lattice parameters (Å, degrees): 6.0215 3.4936 6.0634 90.00 109.06 90.00
Sites, in units of the cell vectors:
Pm 0.0000 0.0000 0.0000
Dy 0.5000 0.0000 0.5000
Dy 0.5000 0.5000 0.0000
U 0.0000 0.5000 0.5000
N 0.2420 0.5000 0.2739
N 0.2430 0.0000 0.7343
N 0.7570 0.0000 0.2657
N 0.7580 0.5000 0.7261

***

5.
Crystalline Pm2Dy3UN6 at its relaxed geometry, computed with PBE.

Properties
energy = -103.6 eV/cell

Lattice parameters (Å, degrees): 6.0804 6.0804 6.0485 99.67 99.67 119.97
Sites, in units of the cell vectors:
Pm 0.1665 0.8335 0.0000
Pm 0.8335 0.1665 0.0000
Dy 0.0000 0.0000 0.5000
Dy 0.3339 0.6661 0.5000
Dy 0.6661 0.3339 0.5000
U 0.5000 0.5000 0.0000
N 0.1117 0.4176 0.7536
N 0.2760 0.2760 0.2431
N 0.4176 0.1117 0.7536
N 0.5824 0.8883 0.2464
N 0.7240 0.7240 0.7569
N 0.8883 0.5824 0.2464

***

6.
Crystalline PmDyUN3 at its relaxed geometry, computed with PBE.

Properties
energy = -107.4 eV/cell

Lattice parameters (Å, degrees): 5.9953 3.4863 9.0543 90.00 102.13 90.00
Sites, in units of the cell vectors:
Pm 0.1523 0.2500 0.1880
Pm 0.8477 0.7500 0.8120
Dy 0.3564 0.2500 0.8608
Dy 0.6436 0.7500 0.1392
U 0.2640 0.7500 0.5435
U 0.7360 0.2500 0.4565
N 0.0435 0.2500 0.6434
N 0.2511 0.7500 0.0062
N 0.4632 0.7500 0.3637
N 0.5368 0.2500 0.6363
N 0.7489 0.2500 0.9938
N 0.9565 0.7500 0.3566

***

7.
Crystalline PmDy2VN4 at its relaxed geometry, computed with PBE.

Properties
energy = -134.5 eV/cell

Lattice parameters (Å, degrees): 6.0913 6.0913 11.7706 90.00 90.00 147.76
Sites, in units of the cell vectors:
Pm 0.0854 0.9146 0.7500
Pm 0.9146 0.0854 0.2500
Dy 0.3703 0.6297 0.5424
Dy 0.3703 0.6297 0.9576
Dy 0.6297 0.3703 0.0424
Dy 0.6297 0.3703 0.4576
V 0.1742 0.8258 0.2500
V 0.8258 0.1742 0.7500
N 0.0000 0.0000 0.0000
N 0.0000 0.0000 0.5000
N 0.2648 0.7352 0.1260
N 0.2648 0.7352 0.3740
N 0.4244 0.5756 0.7500
N 0.5756 0.4244 0.2500
N 0.7352 0.2648 0.6260
N 0.7352 0.2648 0.8740

***

8.
Crystalline PmDy2WN4 at its relaxed geometry, computed with PBE.

Properties
energy = -138.2 eV/cell

Lattice parameters (Å, degrees): 6.1597 6.1597 11.9360 90.00 90.00 147.83
Sites, in units of the cell vectors:
Pm 0.0966 0.9034 0.7500
Pm 0.9034 0.0966 0.2500
Dy 0.3700 0.6300 0.5374
Dy 0.3700 0.6300 0.9626
Dy 0.6300 0.3700 0.0374
Dy 0.6300 0.3700 0.4626
W 0.1627 0.8373 0.2500
W 0.8373 0.1627 0.7500
N 0.0000 0.0000 0.0000
N 0.0000 0.0000 0.5000
N 0.2627 0.7373 0.1235
N 0.2627 0.7373 0.3765
N 0.4393 0.5607 0.7500
N 0.5607 0.4393 0.2500
N 0.7373 0.2627 0.6235
N 0.7373 0.2627 0.8765

***

9.
Crystalline Pm2DyYN4 at its relaxed geometry, computed with PBE.

Properties
energy = -66.3 eV/cell

Lattice parameters (Å, degrees): 6.1387 3.5460 6.1427 90.00 109.42 90.00
Sites, in units of the cell vectors:
Pm 0.0000 0.0000 0.0000
Pm 0.5000 0.5000 0.0000
Dy 0.0000 0.5000 0.5000
Y 0.5000 0.0000 0.5000
N 0.2468 0.0000 0.7418
N 0.2522 0.5000 0.2579
N 0.7478 0.5000 0.7421
N 0.7532 0.0000 0.2582

***

10.
Crystalline PmDyZr2N4 at its relaxed geometry, computed with PBE.

Properties
energy = -72.9 eV/cell

Lattice parameters (Å, degrees): 5.8363 3.3711 5.9224 90.00 109.22 90.00
Sites, in units of the cell vectors:
Pm 0.0000 0.0000 0.0000
Dy 0.5000 0.5000 0.0000
Zr 0.0000 0.5000 0.5000
Zr 0.5000 0.0000 0.5000
N 0.2482 0.0000 0.7285
N 0.2635 0.5000 0.2764
N 0.7365 0.5000 0.7236
N 0.7518 0.0000 0.2715

***

11.
Crystalline PmDy2Zr3N6 at its relaxed geometry, computed with PBE.

Properties
energy = -109.7 eV/cell

Lattice parameters (Å, degrees): 5.8224 5.8224 5.8934 99.51 99.51 119.94
Sites, in units of the cell vectors:
Pm 0.0000 0.0000 0.0000
Dy 0.3332 0.6668 0.0000
Dy 0.6668 0.3332 0.0000
Zr 0.1679 0.8321 0.5000
Zr 0.5000 0.5000 0.5000
Zr 0.8321 0.1679 0.5000
N 0.0903 0.4308 0.2712
N 0.2495 0.2495 0.7280
N 0.4308 0.0903 0.2712
N 0.5692 0.9097 0.7288
N 0.7505 0.7505 0.2720
N 0.9097 0.5692 0.7288

***

12.
Crystalline PmDyZrN3 at its relaxed geometry, computed with PBE.

Properties
energy = -102.9 eV/cell

Lattice parameters (Å, degrees): 5.8224 3.4190 8.9767 90.00 101.39 90.00
Sites, in units of the cell vectors:
Pm 0.1605 0.2500 0.2003
Pm 0.8395 0.7500 0.7997
Dy 0.3508 0.2500 0.8590
Dy 0.6492 0.7500 0.1410
Zr 0.2647 0.7500 0.5410
Zr 0.7353 0.2500 0.4590
N 0.0454 0.2500 0.6469
N 0.2510 0.7500 0.0040
N 0.4664 0.7500 0.3576
N 0.5336 0.2500 0.6424
N 0.7490 0.2500 0.9960
N 0.9546 0.7500 0.3531

***

13.
Crystalline Pr2DyN at its relaxed geometry, computed with PBE.

Properties
energy = -24.5 eV/cell

Lattice parameters (Å, degrees): 9.9801 9.9801 9.9801 20.81 20.81 20.81
Sites, in units of the cell vectors:
Pr 0.1189 0.1189 0.1189
Pr 0.8811 0.8811 0.8811
Dy 0.0000 0.0000 0.0000
N 0.5000 0.5000 0.5000

***

14.
Crystalline PrDy3N at its relaxed geometry, computed with PBE.

Properties
energy = -29.4 eV/cell

Lattice parameters (Å, degrees): 4.9913 4.9913 4.9913 90.00 90.00 90.00
Sites, in units of the cell vectors:
Pr 0.0000 0.0000 0.0000
Dy 0.0000 0.5000 0.5000
Dy 0.5000 0.0000 0.5000
Dy 0.5000 0.5000 0.0000
N 0.5000 0.5000 0.5000

***

15.
Crystalline PrDy3N4 at its relaxed geometry, computed with PBE.

Properties
energy = -129.0 eV/cell

Lattice parameters (Å, degrees): 6.1140 7.0688 6.1121 90.00 109.45 90.00
Sites, in units of the cell vectors:
Pr 0.0000 0.1273 0.2500
Pr 0.0000 0.8727 0.7500
Dy 0.0000 0.3765 0.7500
Dy 0.0000 0.6235 0.2500
Dy 0.5000 0.1302 0.7500
Dy 0.5000 0.3760 0.2500
Dy 0.5000 0.6240 0.7500
Dy 0.5000 0.8698 0.2500
N 0.2531 0.3780 0.5068
N 0.2531 0.6220 0.0068
N 0.2599 0.1345 0.9974
N 0.2599 0.8655 0.4974
N 0.7401 0.1345 0.5026
N 0.7401 0.8655 0.0026
N 0.7469 0.3780 0.9932
N 0.7469 0.6220 0.4932

***

16.
Crystalline PrDyN2 at its relaxed geometry, computed with PBE.

Properties
energy = -62.8 eV/cell

Lattice parameters (Å, degrees): 3.4850 6.0600 6.0602 90.00 90.00 90.00
Sites, in units of the cell vectors:
Pr 0.2500 0.2500 0.0883
Pr 0.7500 0.7500 0.9117
Dy 0.2500 0.7500 0.4203
Dy 0.7500 0.2500 0.5797
N 0.2500 0.0055 0.7371
N 0.2500 0.4945 0.7371
N 0.7500 0.5055 0.2629
N 0.7500 0.9945 0.2629

***

17.
Crystalline PrDyN at its relaxed geometry, computed with PBE.

Properties
E above lowest polymorph = 0.00 eV/f.u.

Lattice parameters (Å, degrees): 3.5621 3.5621 6.3408 90.00 90.00 120.00
Sites, in units of the cell vectors:
Pr 0.0000 0.0000 0.0000
Dy 0.6667 0.3333 0.5657
N 0.3333 0.6667 0.7487

***

18.
Crystalline PrDyN at its relaxed geometry, computed with PBE.

Properties
E above lowest polymorph = 1.93 eV/f.u.

Lattice parameters (Å, degrees): 4.3636 4.3636 4.3636 60.00 60.00 60.00
Sites, in units of the cell vectors:
Pr 0.0000 0.0000 0.0000
Dy 0.5000 0.5000 0.5000
N 0.2500 0.2500 0.2500

***

19.
Crystalline Pr4Dy2N at its relaxed geometry, computed with PBE.

Properties
energy = -37.7 eV/cell

Lattice parameters (Å, degrees): 9.5499 9.5499 9.5499 149.29 149.29 43.99
Sites, in units of the cell vectors:
Pr 0.0000 0.5000 0.5000
Pr 0.1368 0.1368 0.0000
Pr 0.5000 0.0000 0.5000
Pr 0.8632 0.8632 0.0000
Dy 0.3371 0.3371 0.0000
Dy 0.6629 0.6629 0.0000
N 0.0000 0.0000 0.0000

***

20.
Crystalline Pr4DyN5 at its relaxed geometry, computed with PBE.

Properties
energy = -78.9 eV/cell

Lattice parameters (Å, degrees): 6.3094 6.3094 6.3094 99.92 99.92 130.94
Sites, in units of the cell vectors:
Pr 0.1010 0.7014 0.8024
Pr 0.2986 0.1010 0.3997
Pr 0.7014 0.8990 0.6003
Pr 0.8990 0.2986 0.1976
Dy 0.4922 0.4922 0.0000
N 0.0454 0.0454 0.0000
N 0.2302 0.4248 0.6109
N 0.4248 0.8139 0.1946
N 0.6193 0.2302 0.8054
N 0.8139 0.6193 0.3891

***

Calculated M_tot, 0.00, 0.00, 0.00, 1.43, 0.46, 1.30, 0.00, 0.00, 0.00, 0.00, 0.00, 0.00, 0.00, 0.36, 0.00, 0.00, 0.42, 0.00, 0.00, 0.00 μB per formula unit (same order as the records).